No. 1
# ErInIr

ErInIr after structural relaxation (GGA-PBE, the Alexandria database).

The density of states at the Fermi level is 4.75 states/eV/cell. The value obtained for the final energy is -5.98 eV per atom. Its formation energy from the elements is -0.5921 eV/atom. As for the magnetic moment: 0.0 μB/f.u.

It has space group F-43m (No. 216), with a = 6.581 Å, b = 6.581 Å, c = 6.581 Å, α = 90.00°, β = 90.00° and γ = 90.00°. The inequivalent atoms are Er at (0.000, 0.000, 0.000), In at (0.000, 0.000, 0.500) and Ir at (0.250, 0.250, 0.250).


No. 2
# Er2InIr

Er2InIr after structural relaxation (GGA-PBE, the Alexandria database).

The density of states at the Fermi level is 1.29 states/eV/cell. The value obtained for the final energy is -5.88 eV per atom. Its formation energy from the elements is -0.7033 eV/atom. The calculation puts the excess energy over the best structure of this formula in the dataset at 0.0 meV per atom. As for the magnetic moment: 0.0 μB/f.u.

It has space group P4/mmm (No. 123), with a = 3.499 Å, b = 3.499 Å, c = 7.464 Å, α = 90.00°, β = 90.00° and γ = 90.00°. The inequivalent atoms are Er at (0.000, 0.000, 0.216), In at (0.500, 0.500, 0.500) and Ir at (0.500, 0.500, 0.000).